Record 1
# CrSnSe2Br, PBEsol geometry, DFT meta-GGA SCAN
data_CrSnSe2Br
_chemical_formula_sum 'Cr1 Sn1 Se2 Br1'
_cell_length_a 4.887
_cell_length_b 4.887
_cell_length_c 4.876
_cell_angle_alpha 90.00
_cell_angle_beta 90.00
_cell_angle_gamma 90.00
_space_group_name_H-M_alt 'P 1'
_space_group_IT_number 1
_space_group_name_Hall 'P 1'
loop_
_atom_site_label
_atom_site_type_symbol
_atom_site_fract_x
_atom_site_fract_y
_atom_site_fract_z
Cr1 Cr 0.000 0.000 0.000
Sn1 Sn 0.500 0.500 0.500
Se1 Se 0.000 0.500 0.000
Se2 Se 0.500 0.000 0.000
Br1 Br 0.000 0.000 0.500
# - ΔE_f (raw): -289 meV/atom
# - Energy: -23.074 eV per atom

***

Record 2
# LaZnSe, PBEsol geometry, DFT meta-GGA SCAN
data_LaZnSe
_chemical_formula_sum 'La1 Zn1 Se1'
_cell_length_a 3.996
_cell_length_b 3.996
_cell_length_c 5.412
_cell_angle_alpha 90.00
_cell_angle_beta 90.00
_cell_angle_gamma 120.00
_space_group_name_H-M_alt 'P 1'
_space_group_IT_number 1
_space_group_name_Hall 'P 1'
loop_
_atom_site_label
_atom_site_type_symbol
_atom_site_fract_x
_atom_site_fract_y
_atom_site_fract_z
La1 La 0.000 0.000 0.000
Zn1 Zn 0.333 0.667 0.397
Se1 Se 0.667 0.333 0.634
# - ΔE_f (raw): -854 meV/atom
# - Energy: -26.420 eV per atom

***

Record 3
# Mn2CdPb, PBEsol geometry, DFT meta-GGA SCAN
data_Mn2CdPb
_chemical_formula_sum 'Mn2 Cd1 Pb1'
_cell_length_a 5.655
_cell_length_b 5.655
_cell_length_c 5.655
_cell_angle_alpha 147.23
_cell_angle_beta 131.89
_cell_angle_gamma 59.43
_space_group_name_H-M_alt 'P 1'
_space_group_IT_number 1
_space_group_name_Hall 'P 1'
loop_
_atom_site_label
_atom_site_type_symbol
_atom_site_fract_x
_atom_site_fract_y
_atom_site_fract_z
Mn1 Mn 0.000 0.000 0.000
Mn2 Mn 0.780 0.280 0.500
Cd1 Cd 0.535 0.535 0.000
Pb1 Pb 0.263 0.763 0.500
# - Energy of formation from the pure elements: 13 kJ/mol of atoms
# - Energy: -35.540 eV per atom

***

Record 4
# ReAsPBr2, PBEsol geometry, DFT meta-GGA SCAN
data_ReAsPBr2
_chemical_formula_sum 'Re1 As1 P1 Br2'
_cell_length_a 4.787
_cell_length_b 4.787
_cell_length_c 5.100
_cell_angle_alpha 90.00
_cell_angle_beta 90.00
_cell_angle_gamma 90.00
_space_group_name_H-M_alt 'P 1'
_space_group_IT_number 1
_space_group_name_Hall 'P 1'
loop_
_atom_site_label
_atom_site_type_symbol
_atom_site_fract_x
_atom_site_fract_y
_atom_site_fract_z
Re1 Re 0.000 0.000 0.000
As1 As 0.500 0.500 0.000
P1 P 0.500 0.500 0.500
Br1 Br 0.000 0.500 0.500
Br2 Br 0.500 0.000 0.500
# - ΔE_f (raw): 1461 meV/atom
# - Energy: -26.660 eV per atom